No. 1
## PmSn2Pt9 (PBE-GGA)

Data for a relaxed structure of PmSn2Pt9.

It has space group P4/mmm (No. 123), with a = 4.108 Å, b = 4.108 Å, c = 12.257 Å, α = 90.00°, β = 90.00° and γ = 90.00°. The inequivalent atoms are Pm at (0.000, 0.000, 0.000), Sn at (0.000, 0.000, 0.335), Pt at (0.000, 0.500, 0.175), Pt at (0.000, 0.500, 0.500), Pt at (0.500, 0.500, 0.000) and Pt at (0.500, 0.500, 0.339).


No. 2
## FeCoSn4 (PBE-GGA)

Data for a relaxed structure of FeCoSn4.

It has space group I422 (No. 97), with a = 6.430 Å, b = 6.430 Å, c = 5.453 Å, α = 90.00°, β = 90.00° and γ = 90.00°. The inequivalent atoms are Fe at (0.000, 0.000, 0.000), Co at (0.000, 0.000, 0.500) and Sn at (0.166, 0.334, 0.250).

The calculation puts the energy above the lowest structure with this stoichiometry at 0 meV per atom.


| no. | DFT total energy (eV/cell) | ΔH_f (0 K) (eV/atom) |
| --- | --- | --- |
| 1 | -73.80 | -0.557 |
| 2 | -63.21 | -0.004 |